1.
The following is a PBE calculation of a relaxed LaCdO3 crystal, from OQMD via LeMat-Bulk.

Summary:
As for the space group: R-3c, No. 167. The value obtained for the total energy is -6.064 eV/atom.

Unit cell a=5.7259 b=5.7259 c=5.7259 alpha=63.02 beta=63.02 gamma=63.02
Closest atoms and distances in Å follow each position.
Sites, in units of the cell vectors:
La: 0.7500 0.7500 0.7500  3 O 2.32
La: 0.2500 0.2500 0.2500  3 O 2.32
O: 0.1383 0.7500 0.3617  2 Cd 2.18, 1 La 2.32
O: 0.3617 0.1383 0.7500  2 Cd 2.18, 1 La 2.32
O: 0.8617 0.2500 0.6383  2 Cd 2.18, 1 La 2.32
O: 0.7500 0.3617 0.1383  2 Cd 2.18, 1 La 2.32
O: 0.6383 0.8617 0.2500  2 Cd 2.18, 1 La 2.32
O: 0.2500 0.6383 0.8617  2 Cd 2.18, 1 La 2.32
Cd: 0.5000 0.5000 0.5000  6 O 2.18
Cd: 0.0000 0.0000 0.0000  6 O 2.18



2.
The following is a PBE calculation of a relaxed GdThW crystal, from OQMD via LeMat-Bulk.

Summary:
As for the space group: F-43m, No. 216. The value obtained for the energy above the most stable polymorph in this dataset is 0.00 eV per formula unit. The formation energy comes out at 0.5568 eV per atom. The value obtained for the total energy is -7.786 eV/atom.

Unit cell a=4.9332 b=4.9332 c=4.9332 alpha=60.00 beta=60.00 gamma=60.00
Closest atoms and distances in Å follow each position.
Sites, in units of the cell vectors:
Gd: 0.7500 0.7500 0.7500  4 W 3.02
Th: 0.2500 0.2500 0.2500  4 W 3.02
W: 0.0000 0.0000 0.0000  4 Th 3.02, 4 Gd 3.02